# 1
# ScSiPb2

A crystal of ScSiPb2 relaxed with PBEsol (SCAN, the Alexandria database).

E = -175.83 eV/f.u.
total magnetic moment = 0.00 μB per atom
space-group type = No. 123
formation energy from raw total energies = -0.003 eV/atom

a b c (Å): 4.545 4.545 4.425
angles (deg): 90.00 90.00 90.00
Sites, in units of the cell vectors:
1 Pb 0.000 0.500 0.000
2 Pb 0.500 0.000 0.000
3 Sc 0.500 0.500 0.500
4 Si 0.000 0.000 0.500

# 2
# Cr2TePt

A crystal of Cr2TePt relaxed with PBEsol (SCAN, the Alexandria database).

E = -143.21 eV/f.u.
total magnetic moment = 1.82 μB per atom
space-group type = No. 123
formation energy from raw total energies = 0.251 eV/atom

a b c (Å): 3.016 3.016 6.422
angles (deg): 90.00 90.00 90.00
Last column: magnetic moment on the atom in μB.
Sites, in units of the cell vectors:
1 Cr 0.000 0.000 0.745  3.33
2 Cr 0.000 0.000 0.255  3.33
3 Pt 0.500 0.500 0.000  0.39
4 Te 0.500 0.500 0.500  -0.13

# 3
# ErGeIr

A crystal of ErGeIr relaxed with PBEsol (SCAN, the Alexandria database).

E = -143.95 eV/f.u.
total magnetic moment = 0.00 μB per atom
formation enthalpy at 0 K = -1.143 eV per atom
space-group type = No. 62

a b c (Å): 4.237 6.729 7.512
angles (deg): 90.00 90.00 90.00
Sites, in units of the cell vectors:
1 Er 0.250 0.506 0.808
2 Er 0.750 0.994 0.308
3 Er 0.250 0.006 0.692
4 Er 0.750 0.494 0.192
5 Ge 0.750 0.211 0.888
6 Ge 0.750 0.711 0.612
7 Ge 0.250 0.789 0.112
8 Ge 0.250 0.289 0.388
9 Ir 0.750 0.339 0.564
10 Ir 0.750 0.839 0.936
11 Ir 0.250 0.161 0.064
12 Ir 0.250 0.661 0.436

# 4
# TcBOs3

A crystal of TcBOs3 relaxed with PBEsol (SCAN, the Alexandria database).

E = -242.15 eV/f.u.
total magnetic moment = 0.00 μB per atom
formation enthalpy at 0 K = 3.197 eV per atom
space-group type = No. 221

a b c (Å): 4.587 4.587 4.587
angles (deg): 90.00 90.00 90.00
Sites, in units of the cell vectors:
1 B 0.500 0.500 0.500
2 Os 0.000 0.500 0.000
3 Os 0.000 0.000 0.500
4 Os 0.500 0.000 0.000
5 Tc 0.000 0.000 0.000

# 5
# As2IrPb

A crystal of As2IrPb relaxed with PBEsol (SCAN, the Alexandria database).

E = -187.75 eV/f.u.
total magnetic moment = 0.00 μB per atom
formation enthalpy at 0 K = -0.121 eV per atom
space-group type = No. 10

a b c (Å): 4.019 4.570 4.821
angles (deg): 111.13 90.00 90.00
Sites, in units of the cell vectors:
1 Pb 0.500 0.500 0.000
2 As 0.000 0.209 0.331
3 As 0.000 0.791 0.669
4 Ir 0.500 0.000 0.500

# 6
# LiCd2Ni

A crystal of LiCd2Ni relaxed with PBEsol (SCAN, the Alexandria database).

E = -79.78 eV/f.u.
total magnetic moment = 0.00 μB per atom
formation enthalpy at 0 K = -0.097 eV per atom
space-group type = No. 65

a b c (Å): 3.173 4.368 4.368
angles (deg): 90.07 90.00 90.00
Sites, in units of the cell vectors:
1 Ni 0.500 0.500 0.500
2 Cd 0.000 0.500 0.000
3 Cd 0.000 0.000 0.500
4 Li 0.500 0.000 0.000

# 7
# RbTlSeBr2

A crystal of RbTlSeBr2 relaxed with PBEsol (SCAN, the Alexandria database).

E = -156.16 eV/f.u.
total magnetic moment = 0.00 μB per atom
space-group type = No. 123
formation energy from raw total energies = -0.813 eV/atom

a b c (Å): 5.269 5.725 5.725
angles (deg): 90.00 90.00 90.00
Sites, in units of the cell vectors:
1 Tl 0.000 0.000 0.000
2 Se 0.500 0.000 0.000
3 Br 0.000 0.000 0.500
4 Br 0.000 0.500 0.000
5 Rb 0.500 0.500 0.500

# 8
# CuTcTe3

A crystal of CuTcTe3 relaxed with PBEsol (SCAN, the Alexandria database).

E = -157.13 eV/f.u.
total magnetic moment = 0.78 μB per atom
space-group type = No. 221
formation energy from raw total energies = 0.977 eV/atom

a b c (Å): 5.025 5.025 5.025
angles (deg): 90.00 90.00 90.00
Last column: magnetic moment on the atom in μB.
Sites, in units of the cell vectors:
1 Te 0.000 0.500 0.000  -0.14
2 Te 0.000 0.000 0.500  -0.14
3 Te 0.500 0.000 0.000  -0.14
4 Tc 0.500 0.500 0.500  4.00
5 Cu 0.000 0.000 0.000  0.01

# 9
# TePtSe

A crystal of TePtSe relaxed with PBEsol (SCAN, the Alexandria database).

E = -128.97 eV/f.u.
total magnetic moment = 0.00 μB per atom
space-group type = No. 156
formation energy from raw total energies = -0.483 eV/atom

a b c (Å): 3.914 3.914 4.925
angles (deg): 90.00 90.00 120.00
Sites, in units of the cell vectors:
1 Te 0.667 0.333 0.270
2 Pt 0.000 0.000 0.990
3 Se 0.333 0.667 0.740

# 10
# CrCoSiGe2

A crystal of CrCoSiGe2 relaxed with PBEsol (SCAN, the Alexandria database).

E = -79.74 eV/f.u.
total magnetic moment = 0.57 μB per atom
space-group type = No. 123
formation energy from raw total energies = 0.828 eV/atom

a b c (Å): 4.375 4.498 4.498
angles (deg): 90.00 90.00 90.00
Last column: magnetic moment on the atom in μB.
Sites, in units of the cell vectors:
1 Cr 0.000 0.000 0.000  0.72
2 Ge 0.000 0.000 0.500  -0.04
3 Ge 0.000 0.500 0.000  -0.04
4 Co 0.500 0.500 0.500  2.26
5 Si 0.500 0.000 0.000  -0.02

# 11
# Sr2HfCrBi

A crystal of Sr2HfCrBi relaxed with PBEsol (SCAN, the Alexandria database).

E = -201.88 eV/f.u.
total magnetic moment = 0.58 μB per atom
formation enthalpy at 0 K = 0.461 eV per atom
space-group type = No. 123

a b c (Å): 4.794 5.676 5.676
angles (deg): 90.00 90.00 90.00
Last column: magnetic moment on the atom in μB.
Sites, in units of the cell vectors:
1 Sr 0.000 0.000 0.500  0.04
2 Sr 0.000 0.500 0.000  0.04
3 Hf 0.500 0.000 0.000  -0.36
4 Bi 0.500 0.500 0.500  0.08
5 Cr 0.000 0.000 0.000  3.04

# 12
# KCuCl2

A crystal of KCuCl2 relaxed with PBEsol (SCAN, the Alexandria database).

E = -44.33 eV/f.u.
total magnetic moment = 0.00 μB per atom
space-group type = No. 10
formation energy from raw total energies = -1.211 eV/atom

a b c (Å): 3.531 3.926 6.740
angles (deg): 88.67 90.00 90.00
Sites, in units of the cell vectors:
1 K 0.500 0.500 0.000
2 Cu 0.500 0.000 0.500
3 Cl 0.000 0.011 0.736
4 Cl 0.000 0.989 0.264

| no. | density (g/cm³) |
| --- | --- |
| 1 | 8.85 |
| 2 | 12.13 |
| 3 | 13.40 |
| 4 | 11.69 |
| 5 | 11.04 |
| 6 | 7.96 |
| 7 | 5.08 |
| 8 | 7.12 |
| 9 | 10.21 |
| 10 | 5.33 |
| 11 | 6.61 |
| 12 | 3.09 |